! PaTlCo2O6 (GGA+U, relaxed); values from VASP
! - Crystal system: monoclinic
! - Mass density: 6050 kg/m³
! - Raw total energy: -6.968 eV per atom
&SYSTEM
  ibrav = 0, nat = 20, ntyp = 4
/
ATOMIC_SPECIES
Pa 231.04 Pa.upf
Tl 204.38 Tl.upf
Co 58.93 Co.upf
O 16.00 O.upf
ATOMIC_POSITIONS crystal
Pa 0.160 0.840 0.750
Pa 0.840 0.160 0.250
Tl 0.369 0.631 0.250
Tl 0.631 0.369 0.750
Co 0.054 0.280 0.753
Co 0.280 0.054 0.253
Co 0.720 0.946 0.747
Co 0.946 0.720 0.247
O 0.107 0.534 0.750
O 0.152 0.844 0.066
O 0.154 0.224 0.258
O 0.156 0.848 0.434
O 0.224 0.154 0.758
O 0.466 0.893 0.750
O 0.534 0.107 0.250
O 0.776 0.846 0.242
O 0.844 0.152 0.566
O 0.846 0.776 0.742
O 0.848 0.156 0.934
O 0.893 0.466 0.250
CELL_PARAMETERS angstrom
4.184 -6.057 0.000
4.184 6.057 0.000
-0.225 0.000 7.033